A geometry-optimized Al9Re4 structure, computed with GGA-PBE.

The structure in extended XYZ format:
```
13
Lattice="2.497 1.442 8.674 -2.497 1.442 8.674 0.000 -2.884 8.674" Properties=species:S:1:pos:R:3 pbc="T T T"
Al 0.000 0.000 14.217
Al 1.233 0.712 6.620
Al 1.233 -0.712 19.402
Al 0.000 1.424 19.402
Al -1.233 -0.712 19.402
Al 0.000 0.000 0.000
Al 0.000 0.000 11.804
Al -1.233 0.712 6.620
Al 0.000 -1.424 6.620
Re 0.000 0.000 4.376
Re 0.000 0.000 9.243
Re 0.000 0.000 21.646
Re 0.000 0.000 16.779
```

Values from the calculation:
Space group: R-3m, No. 166
Crystal system: trigonal

=====

A geometry-optimized NaPaSn structure, computed with GGA-PBE.

The structure in extended XYZ format:
```
3
Lattice="-3.842 -1.000 -3.264 -3.784 3.419 -0.641 -0.377 2.620 -4.405" Properties=species:S:1:pos:R:3 pbc="T T T"
Na -2.001 1.260 -2.077
Pa -6.002 3.779 -6.232
Sn 0.000 0.000 0.000
```

Values from the calculation:
Space group: F-43m, No. 216
Crystal system: cubic

=====

A geometry-optimized ScCoCuPb structure, computed with GGA-PBE.

The structure in extended XYZ format:
```
4
Lattice="0.000 3.218 3.218 3.218 0.000 3.218 3.218 3.218 0.000" Properties=species:S:1:pos:R:3 pbc="T T T"
Sc 4.828 4.828 4.828
Co 1.609 1.609 1.609
Cu 3.218 3.218 3.218
Pb 0.000 0.000 0.000
```

Values from the calculation:
Space group: F-43m, No. 216
Crystal system: cubic

=====

A geometry-optimized KScCoSe3 structure, computed with GGA-PBE.

The structure in extended XYZ format:
```
12
Lattice="8.180 -2.022 0.000 8.180 2.022 0.000 -1.708 0.000 8.442" Properties=species:S:1:pos:R:3 pbc="T T T"
Se 5.266 0.000 1.164
Se 0.000 0.000 0.000
Se 7.326 0.000 4.221
Se 4.470 0.000 6.091
Se 9.386 0.000 7.278
Se 10.182 0.000 2.351
K 13.150 0.000 3.638
K 1.502 0.000 4.804
Sc 2.558 0.000 0.657
Sc 12.094 0.000 7.785
Co 6.886 0.000 6.534
Co 7.766 0.000 1.908
```

Values from the calculation:
Space group: C2/m, No. 12
Crystal system: monoclinic

=====

A geometry-optimized Sc2Ga4PdPt structure, computed with GGA-PBE.

The structure in extended XYZ format:
```
8
Lattice="-6.055 2.453 0.547 -0.632 -2.597 4.648 0.988 1.301 5.107" Properties=species:S:1:pos:R:3 pbc="T T T"
Pd 0.284 -1.032 7.768
Ga -1.577 -0.085 6.291
Ga -4.710 1.479 4.069
Ga -1.079 0.008 3.741
Ga -4.031 0.909 6.513
Sc -2.701 0.038 9.220
Sc 0.029 -0.106 0.799
Pt -2.955 0.962 2.262
```

Values from the calculation:
Space group: Amm2, No. 38
Crystal system: orthorhombic

=====

A geometry-optimized Si2PtO4 structure, computed with GGA-PBE.

The structure in extended XYZ format:
```
14
Lattice="0.163 4.411 -3.923 4.812 -3.290 0.944 -4.658 -2.316 -2.796" Properties=species:S:1:pos:R:3 pbc="T T T"
O 2.023 -2.674 -1.155
O 2.087 -0.919 -2.715
O -0.569 -3.602 -2.306
O -0.630 -1.373 -1.569
O -2.483 -2.294 -2.682
O -0.811 1.062 -3.284
O -0.504 -1.848 -3.866
O -2.664 0.141 -4.396
Si -1.566 1.590 -4.944
Si -1.647 -0.616 -2.983
Si 0.759 -2.261 -2.511
Si 3.088 -1.103 -1.112
Pt 1.364 1.084 -3.169
Pt 0.000 0.000 0.000
```

Values from the calculation:
Space group: Fd-3m, No. 227
Crystal system: cubic

=====

| no. | raw total energy (eV/f.u.) |
| --- | --- |
| 1 | -82.83 |
| 2 | -13.51 |
| 3 | -20.63 |
| 4 | -30.47 |
| 5 | -42.51 |
| 6 | -44.18 |